(one)
Computed, not measured: an optimized crystal structure of Er2MgTl2 at the GGA-PBE level of DFT.

The structure belongs to space group P4/mbm (No. 127); the cell edges are 7.7444, 7.7444 and 4.4607 Å and the angles 90.00°, 90.00° and 90.00°. The asymmetric unit holds Er at (0.1671, 0.3329, 0.0000), Mg at (0.0000, 0.0000, 0.5000) and Tl at (0.1385, 0.6385, 0.5000).

The density of states at the Fermi level is 7.58 states/eV/cell. The calculation puts the volume at 26.8 Å³ per atom.

---

(two)
Computed, not measured: an optimized crystal structure of Er2MgTl2 at the GGA-PBE level of DFT.

The structure belongs to space group Cmc2_1 (No. 36); the cell edges are 4.9210, 16.6899 and 6.5188 Å and the angles 90.00°, 90.00° and 90.00°. The asymmetric unit holds Er at (0.0000, 0.0150, 0.0000), Er at (0.0000, 0.1944, 0.3910), Mg at (0.0000, 0.3884, 0.2144), Tl at (0.0000, 0.1932, 0.8742) and Tl at (0.0000, 0.4224, 0.7573).

The density of states at the Fermi level is 10.76 states/eV/cell. The calculation puts the volume at 26.8 Å³ per atom.

---

Relative to the most stable one, in meV/atom, the structures come out at (one) 0; (two) 45.

---

(one)
Computed, not measured: an optimized crystal structure of Er3MgTl2 at the GGA-PBE level of DFT.

The structure belongs to space group P4/mmm (No. 123); the cell edges are 3.7437, 3.7437 and 11.3527 Å and the angles 90.00°, 90.00° and 90.00°. The asymmetric unit holds Er at (0.0000, 0.0000, 0.0000), Er at (0.0000, 0.0000, 0.3403), Mg at (0.5000, 0.5000, 0.5000) and Tl at (0.5000, 0.5000, 0.1750).

The density of states at the Fermi level is 5.42 states/eV/cell. The calculation puts the volume at 26.5 Å³ per atom.

---

(two)
Computed, not measured: an optimized crystal structure of Er3MgTl2 at the GGA-PBE level of DFT.

The structure belongs to space group Cmmm (No. 65); the cell edges are 5.0691, 15.4713 and 4.0429 Å and the angles 90.00°, 90.00° and 90.00°. The asymmetric unit holds Er at (0.0000, 0.0000, 0.0000), Er at (0.0000, 0.3303, 0.0000), Mg at (0.0000, 0.5000, 0.5000) and Tl at (0.0000, 0.1565, 0.5000).

The density of states at the Fermi level is 8.11 states/eV/cell. The calculation puts the volume at 26.4 Å³ per atom.

---

Relative to the most stable one, in meV/atom, the structures come out at (one) 12; (two) 0.

---

(one)
Computed, not measured: an optimized crystal structure of ErMg3Tl3 at the GGA-PBE level of DFT.

The structure belongs to space group Pm-3n (No. 223); the cell edges are 7.7743, 7.7743 and 7.7743 Å and the angles 90.00°, 90.00° and 90.00°. The asymmetric unit holds Er at (0.0000, 0.0000, 0.0000), Mg at (0.0000, 0.2500, 0.5000) and Tl at (0.0000, 0.5000, 0.2500).

The density of states at the Fermi level is 13.13 states/eV/cell. The calculation puts the volume at 33.6 Å³ per atom.

---

(two)
Computed, not measured: an optimized crystal structure of ErMg3Tl3 at the GGA-PBE level of DFT.

The structure belongs to space group R-3 (No. 148, hexagonal axes); the cell edges are 8.6045, 8.6045 and 18.5801 Å and the angles 90.00°, 90.00° and 120.00°. The asymmetric unit holds Er at (0.0000, 0.0000, 0.1668), Mg at (0.0016, 0.3388, 0.3869) and Tl at (0.0007, 0.3182, 0.5610).

The density of states at the Fermi level is 17.41 states/eV/cell. The calculation puts the volume at 28.4 Å³ per atom.

---

Relative to the most stable one, in meV/atom, the structures come out at (one) 508; (two) 0.

---

(one)
Computed, not measured: an optimized crystal structure of ErMg2Tl3 at the GGA-PBE level of DFT.

The structure belongs to space group P4/mmm (No. 123); the cell edges are 3.5773, 3.5773 and 11.8044 Å and the angles 90.00°, 90.00° and 90.00°. The asymmetric unit holds Er at (0.0000, 0.0000, 0.0000), Mg at (0.0000, 0.0000, 0.3370), Tl at (0.5000, 0.5000, 0.1778) and Tl at (0.5000, 0.5000, 0.5000).

The density of states at the Fermi level is 2.93 states/eV/cell. The calculation puts the volume at 25.2 Å³ per atom.

---

(two)
Computed, not measured: an optimized crystal structure of ErMg2Tl3 at the GGA-PBE level of DFT.

The structure belongs to space group Cmmm (No. 65); the cell edges are 5.0326, 15.2635 and 3.9529 Å and the angles 90.00°, 90.00° and 90.00°. The asymmetric unit holds Er at (0.0000, 0.0000, 0.0000), Mg at (0.0000, 0.3323, 0.0000), Tl at (0.0000, 0.1700, 0.5000) and Tl at (0.0000, 0.5000, 0.5000).

The density of states at the Fermi level is 4.54 states/eV/cell. The calculation puts the volume at 25.3 Å³ per atom.

---

Relative to the most stable one, in meV/atom, the structures come out at (one) 39; (two) 0.